No. 1
Computed, not measured: Li2HgTeSe after structural relaxation at the PBE level of DFT.

Results
- Total magnetization: 0.00 μB/f.u.
- E: -0.2049 Ry/atom

a b c (Å): 4.3555 4.3555 6.5234
angles (deg): 90.00 90.00 90.00
Space group P4mm (No. 99)
Symmetry-distinct sites (fractional):
Li (0.0000, 0.5000, 0.0000) x2
Hg (0.0000, 0.0000, 0.5722) x1
Te (0.5000, 0.5000, 0.6880) x1
Se (0.0000, 0.0000, 0.1689) x1


No. 2
Computed, not measured: LiTiHg2Se after structural relaxation at the PBE level of DFT.

Results
- Total magnetization: 0.11 μB/f.u.
- E: -0.1877 Ry/atom

a b c (Å): 4.8508 4.8508 4.5501
angles (deg): 90.00 90.00 90.00
Space group P4/mmm (No. 123)
Symmetry-distinct sites (fractional):
Li (0.0000, 0.0000, 0.0000) x1
Ti (0.5000, 0.5000, 0.5000) x1
Hg (0.0000, 0.5000, 0.0000) x2
Se (0.0000, 0.0000, 0.5000) x1